--- A ---
A plane-wave DFT calculation with PBE was carried out for a geometry-optimized Pr4HoTl structure.

a b c (Å): 3.713 3.713 14.614
angles (deg): 90.00 90.00 90.00
Atoms (fractional coordinates):
Pr 0.500 0.500 0.171
Pr 0.500 0.500 0.829
Pr 0.000 0.000 0.649
Pr 0.000 0.000 0.351
Tl 0.500 0.500 0.500
Ho 0.000 0.000 0.000

=====

--- B ---
A plane-wave DFT calculation with PBE was carried out for a geometry-optimized Pr4HoTl structure.

a b c (Å): 6.643 9.244 8.541
angles (deg): 112.97 100.31 112.83
Atoms (fractional coordinates):
Pr 0.759 0.712 0.620
Pr 0.047 0.170 0.765
Pr 0.953 0.830 0.235
Pr 0.241 0.288 0.380
Pr 0.639 0.093 0.380
Pr 0.217 0.595 0.765
Pr 0.361 0.907 0.620
Pr 0.783 0.405 0.235
Tl 0.251 0.001 0.002
Tl 0.749 0.999 0.998
Ho 0.661 0.411 0.821
Ho 0.339 0.589 0.179

=====

Name the most stable of them. A.

=====

--- A ---
A plane-wave DFT calculation with PBE was carried out for a geometry-optimized Pr4HoTl3 structure.

a b c (Å): 3.426 6.921 11.335
angles (deg): 72.39 98.69 90.00
Atoms (fractional coordinates):
Ho 0.500 0.000 0.000
Pr 0.374 0.862 0.748
Pr 0.370 0.389 0.739
Pr 0.630 0.611 0.261
Pr 0.626 0.138 0.252
Tl 0.761 0.229 0.521
Tl 0.239 0.771 0.479
Tl 0.000 0.500 0.000

=====

--- B ---
A plane-wave DFT calculation with PBE was carried out for a geometry-optimized Pr4HoTl3 structure.

a b c (Å): 5.560 5.560 9.910
angles (deg): 73.71 73.71 60.00
Last column: magnetic moment on the atom in μB.
Atoms (fractional coordinates):
Pr 0.869 0.869 0.394  0.19
Pr 0.131 0.131 0.606  0.19
Pr 0.615 0.615 0.155  0.07
Pr 0.385 0.385 0.845  0.07
Tl 0.737 0.737 0.789  -0.01
Tl 0.500 0.500 0.500  0.01
Tl 0.263 0.263 0.211  -0.01
Ho 0.000 0.000 0.000  0.24

=====

Name the most stable of them. B.

=====

--- A ---
A plane-wave DFT calculation with PBE was carried out for a geometry-optimized PrHo3Tl3 structure.

a b c (Å): 5.238 9.495 9.495
angles (deg): 120.00 90.00 90.00
Atoms (fractional coordinates):
Tl 0.250 0.071 0.624
Tl 0.250 0.376 0.447
Tl 0.750 0.624 0.553
Tl 0.750 0.447 0.071
Tl 0.250 0.553 0.929
Tl 0.750 0.929 0.376
Ho 0.750 0.769 0.001
Ho 0.250 0.231 0.999
Ho 0.750 0.999 0.769
Ho 0.250 0.001 0.231
Ho 0.250 0.769 0.769
Ho 0.750 0.231 0.231
Pr 0.750 0.333 0.667
Pr 0.250 0.667 0.333

=====

--- B ---
A plane-wave DFT calculation with PBE was carried out for a geometry-optimized PrHo3Tl3 structure.

a b c (Å): 9.398 9.398 9.398
angles (deg): 90.00 90.00 90.00
Atoms (fractional coordinates):
Tl 0.386 0.501 0.763
Tl 0.237 0.886 0.999
Tl 0.114 0.499 0.263
Tl 0.499 0.263 0.114
Tl 0.001 0.737 0.614
Tl 0.763 0.386 0.501
Tl 0.737 0.614 0.001
Tl 0.999 0.237 0.886
Tl 0.886 0.999 0.237
Tl 0.614 0.001 0.737
Tl 0.501 0.763 0.386
Tl 0.263 0.114 0.499
Ho 0.322 0.178 0.822
Ho 0.819 0.681 0.319
Ho 0.415 0.585 0.085
Ho 0.181 0.181 0.181
Ho 0.585 0.085 0.415
Ho 0.085 0.415 0.585
Ho 0.822 0.322 0.178
Ho 0.319 0.819 0.681
Ho 0.681 0.319 0.819
Ho 0.915 0.915 0.915
Ho 0.678 0.678 0.678
Ho 0.178 0.822 0.322
Pr 0.569 0.931 0.069
Pr 0.931 0.069 0.569
Pr 0.069 0.569 0.931
Pr 0.431 0.431 0.431

=====

Name the most stable of them. A.

=====

--- A ---
A plane-wave DFT calculation with PBE was carried out for a geometry-optimized Pr6HoTl5 structure.

a b c (Å): 6.438 10.587 7.911
angles (deg): 48.00 81.44 77.14
Atoms (fractional coordinates):
Tl 0.000 0.286 0.429
Tl 0.500 0.868 0.263
Tl 0.000 0.714 0.571
Tl 0.500 0.132 0.737
Tl 0.500 0.500 0.000
Pr 0.271 0.905 0.636
Pr 0.791 0.715 0.000
Pr 0.729 0.460 0.636
Pr 0.271 0.540 0.364
Pr 0.209 0.285 0.000
Pr 0.729 0.095 0.364
Ho 0.000 0.000 0.000

=====

--- B ---
A plane-wave DFT calculation with PBE was carried out for a geometry-optimized Pr6HoTl5 structure.

a b c (Å): 5.137 9.187 9.415
angles (deg): 119.20 105.83 90.00
Atoms (fractional coordinates):
Ho 0.000 0.000 0.000
Tl 0.327 0.327 0.654
Tl 0.650 0.150 0.299
Tl 0.000 0.500 0.000
Tl 0.350 0.850 0.701
Tl 0.673 0.673 0.346
Pr 0.171 0.432 0.343
Pr 0.500 0.266 0.000
Pr 0.829 0.089 0.657
Pr 0.500 0.734 0.000
Pr 0.829 0.568 0.657
Pr 0.171 0.911 0.343

=====

Name the most stable of them. B.

=====

--- A ---
A plane-wave DFT calculation with PBE was carried out for a geometry-optimized Pr2Ho3Tl structure.

a b c (Å): 4.960 4.905 8.044
angles (deg): 107.75 90.00 90.00
Atoms (fractional coordinates):
Ho 0.500 0.835 0.671
Ho 0.500 0.165 0.329
Ho 0.500 0.500 0.000
Pr 0.000 0.663 0.325
Pr 0.000 0.337 0.675
Tl 0.000 0.000 0.000

=====

--- B ---
A plane-wave DFT calculation with PBE was carried out for a geometry-optimized Pr2Ho3Tl structure.

a b c (Å): 3.476 6.474 9.578
angles (deg): 109.75 100.45 90.00
Atoms (fractional coordinates):
Ho 0.000 0.920 0.000
Ho 0.366 0.491 0.733
Ho 0.634 0.758 0.267
Pr 0.310 0.928 0.619
Pr 0.690 0.309 0.381
Tl 0.500 0.337 0.000

=====

Name the most stable of them. A.

=====

--- A ---
A plane-wave DFT calculation with PBE was carried out for a geometry-optimized Pr3Ho2Tl2 structure.

a b c (Å): 5.566 5.558 8.774
angles (deg): 108.55 90.00 120.05
Atoms (fractional coordinates):
Ho 0.926 0.853 0.280
Ho 0.074 0.147 0.720
Tl 0.212 0.425 0.138
Tl 0.788 0.575 0.862
Pr 0.343 0.685 0.528
Pr 0.500 0.000 0.000
Pr 0.657 0.315 0.472

=====

--- B ---
A plane-wave DFT calculation with PBE was carried out for a geometry-optimized Pr3Ho2Tl2 structure.

a b c (Å): 5.051 3.588 12.317
angles (deg): 90.00 78.17 90.00
Atoms (fractional coordinates):
Tl 0.427 0.500 0.147
Tl 0.573 0.500 0.853
Pr 0.855 0.000 0.291
Pr 0.000 0.000 0.000
Pr 0.145 0.000 0.709
Ho 0.713 0.500 0.574
Ho 0.287 0.500 0.426

=====

Name the most stable of them. A.